Record 1
The following is a PBE-GGA calculation of a geometry-optimized La2Sm3Se4 structure, from Alexandria via LeMat-Bulk. Values from VASP.

```
&SYSTEM
  ibrav = 0, nat = 9, ntyp = 3
/
ATOMIC_SPECIES
Se 78.96 Se.upf
La 138.91 La.upf
Sm 150.36 Sm.upf
ATOMIC_POSITIONS angstrom
Se 0.689 2.191 9.553
La 3.368 2.387 13.849
Sm 4.920 4.871 16.889
Se 0.548 3.506 5.583
Sm 1.690 1.172 6.995
Sm 0.000 0.000 0.000
La 3.242 3.656 10.036
Se 5.921 3.852 14.331
Se 6.062 2.537 18.301
CELL_PARAMETERS angstrom
-2.140 3.341 1.182
1.824 -0.137 10.940
6.926 2.839 11.763
```


Record 2
The following is a PBE-GGA calculation of a geometry-optimized La4SmSe6 structure, from Alexandria via LeMat-Bulk. Values from VASP.

```
&SYSTEM
  ibrav = 0, nat = 22, ntyp = 3
/
ATOMIC_SPECIES
Se 78.96 Se.upf
La 138.91 La.upf
Sm 150.36 Sm.upf
ATOMIC_POSITIONS angstrom
Se -0.841 3.767 9.138
La 2.603 -0.487 6.559
Sm 0.000 0.000 0.000
Se 1.326 -1.989 8.868
La -4.367 -2.023 7.873
La -2.846 2.159 7.468
La -0.703 0.738 3.813
Se 1.324 -5.131 10.219
Se -0.922 -6.277 5.294
La 1.083 -4.669 6.964
Se -2.365 -0.430 9.509
Se 0.602 -2.080 4.922
Sm -0.882 -1.255 7.216
Se 0.226 1.362 6.952
La -2.224 -3.445 4.218
Se -1.989 -3.871 7.479
La 0.460 0.935 10.213
La -1.060 -3.248 10.618
Se -3.089 -0.521 5.563
Se -3.087 2.622 4.212
Se -0.807 -0.588 12.551
Se -0.956 -1.922 1.881
CELL_PARAMETERS angstrom
-5.052 4.468 5.147
-2.800 -7.259 3.383
6.088 0.281 5.901
```


Record 3
The following is a PBE-GGA calculation of a geometry-optimized Sr2LaSmSe4 structure, from Alexandria via LeMat-Bulk. Values from VASP.

```
&SYSTEM
  ibrav = 0, nat = 8, ntyp = 4
/
ATOMIC_SPECIES
Se 78.96 Se.upf
Sr 87.62 Sr.upf
Sm 150.36 Sm.upf
La 138.91 La.upf
ATOMIC_POSITIONS angstrom
Se 0.000 -0.130 5.434
Se 0.000 4.973 1.830
Se 2.151 1.179 1.741
Sr 0.000 2.421 3.632
Se 2.151 3.664 5.523
Sm 0.000 0.000 0.000
Sr 2.151 -1.303 3.568
La 2.151 3.724 0.064
CELL_PARAMETERS angstrom
4.303 0.000 0.000
0.000 7.448 0.128
0.000 -2.605 7.136
```


Record 4
The following is a PBE-GGA calculation of a geometry-optimized SrLaSm2Se4 structure, from Alexandria via LeMat-Bulk. Values from VASP.

```
&SYSTEM
  ibrav = 0, nat = 8, ntyp = 4
/
ATOMIC_SPECIES
Sm 150.36 Sm.upf
Se 78.96 Se.upf
Sr 87.62 Sr.upf
La 138.91 La.upf
ATOMIC_POSITIONS angstrom
Sm 2.119 1.291 3.464
Se 2.119 3.719 5.184
Se 2.119 6.269 1.570
Sr 0.000 4.994 3.377
Se 0.000 7.554 5.041
Sm 0.000 2.582 6.927
La 2.119 3.703 -0.086
Se 4.238 2.434 1.714
CELL_PARAMETERS angstrom
4.238 0.000 0.000
0.000 7.406 -0.172
0.000 2.582 6.927
```


Record 5
The following is a PBE-GGA calculation of a geometry-optimized La3TbSm2Se6 structure, from Alexandria via LeMat-Bulk. Values from VASP.

```
&SYSTEM
  ibrav = 0, nat = 12, ntyp = 4
/
ATOMIC_SPECIES
Se 78.96 Se.upf
Tb 158.93 Tb.upf
Sm 150.36 Sm.upf
La 138.91 La.upf
ATOMIC_POSITIONS angstrom
Se -1.481 -2.055 -1.436
Tb 0.000 0.000 0.000
Sm -0.932 2.799 -3.015
Se -2.432 0.726 -4.503
La -3.781 -0.132 -1.894
Se -2.117 1.949 -0.448
La -3.141 -4.164 -2.889
Se -5.129 -0.990 0.715
Sm -0.289 -1.257 -4.016
Se -5.444 -2.214 -3.340
La -4.420 3.899 -0.899
Se -6.080 1.790 -2.352
CELL_PARAMETERS angstrom
-1.576 6.857 -2.013
0.355 -5.316 -5.018
-6.340 -1.806 3.243
```


Record 6
The following is a PBE-GGA calculation of a geometry-optimized La4Tb3SmSe8 structure, from Alexandria via LeMat-Bulk. Values from VASP.

```
&SYSTEM
  ibrav = 0, nat = 16, ntyp = 4
/
ATOMIC_SPECIES
Se 78.96 Se.upf
La 138.91 La.upf
Tb 158.93 Tb.upf
Sm 150.36 Sm.upf
ATOMIC_POSITIONS angstrom
Se 4.202 0.114 3.019
Se -2.079 2.065 5.898
Se 6.281 2.190 0.077
La -2.101 -2.099 2.973
Tb 2.101 2.128 2.988
La 4.202 0.000 0.000
Se 0.000 4.142 2.957
Se 0.000 0.112 3.050
Se 4.202 4.144 2.926
Se 2.122 2.190 0.077
La 0.000 0.000 0.000
Se 2.079 2.065 5.898
Tb 4.202 4.227 0.015
Sm 0.000 4.227 0.015
Tb -2.101 2.128 2.988
La 2.101 -2.099 2.973
CELL_PARAMETERS angstrom
8.404 0.000 0.000
0.000 8.454 0.029
-4.202 -4.198 5.946
```


Number 1: formation energy (no corrections) -1.6158 eV per atom, mass density 6708 kg/m3. Number 2: formation energy (no corrections) -1.8679 eV per atom, mass density 6418 kg/m3. Number 3: formation energy (no corrections) -1.9476 eV per atom, mass density 5631 kg/m3. Number 4: formation energy (no corrections) -1.9041 eV per atom, mass density 6383 kg/m3. Number 5: formation energy (no corrections) -1.9083 eV per atom, mass density 6988 kg/m3. Number 6: formation energy (no corrections) -1.8939 eV per atom, mass density 7115 kg/m3.